# 1
The following is a GGA-PBE calculation of CeNd3Y2S6 after structural relaxation, from the Alexandria database.

The space group is C2/m (No. 12) and the conventional cell measures 6.929, 12.027 and 6.969 Å, with angles of 90.00, 109.49 and 90.00 degrees. The inequivalent atoms are Ce at (0.000, 0.000, 0.000), Nd at (0.000, 0.166, 0.500), Nd at (0.000, 0.500, 0.500), Y at (0.000, 0.333, 0.000), S at (0.241, 0.500, 0.238) and S at (0.249, 0.169, 0.239).

The energy relative to the elements, uncorrected is -2.025 eV/atom. The value obtained for the total magnetization is 0.60 μB/f.u.

=====

# 2
The following is a GGA-PBE calculation of VSbTe2N after structural relaxation, from the Alexandria database.

The space group is P4/mmm (No. 123) and the conventional cell measures 5.006, 5.006 and 5.081 Å, with angles of 90.00, 90.00 and 90.00 degrees. The inequivalent atoms are V at (0.000, 0.000, 0.000), Sb at (0.000, 0.000, 0.500), Te at (0.000, 0.500, 0.000) and N at (0.500, 0.500, 0.500).

The energy relative to the elements, uncorrected is 1.345 eV/atom. The value obtained for the total magnetization is 0.00 μB/f.u.

=====

# 3
The following is a GGA-PBE calculation of Li5H4Rh after structural relaxation, from the Alexandria database.

The space group is C2/m (No. 12) and the conventional cell measures 12.488, 2.878 and 5.786 Å, with angles of 90.00, 103.24 and 90.00 degrees. The inequivalent atoms are Li at (0.000, 0.000, 0.000), Li at (0.158, 0.500, 0.349), Li at (0.164, 0.500, 0.811), H at (0.003, 0.500, 0.706), H at (0.148, 0.000, 0.570) and Rh at (0.000, 0.000, 0.500).

As for the total DFT energy (no corrections): -66.4 eV for the cell shown. The value obtained for the total magnetization is 0.00 μB/f.u.

=====

# 4
The following is a GGA-PBE calculation of Rb2CdHg16 after structural relaxation, from the Alexandria database.

The space group is R3m (No. 160, hexagonal axes) and the conventional cell measures 10.7931, 10.7931 and 17.0321 Å, with angles of 90.00, 90.00 and 120.00 degrees. The inequivalent atoms are Rb at (0.0000, 0.0000, 0.0000), Rb at (0.0000, 0.0000, 0.3222), Cd at (0.0000, 0.0000, 0.6015), Hg at (0.0000, 0.0000, 0.7814), Hg at (0.0012, 0.2983, 0.6707), Hg at (0.0281, 0.5140, 0.5265), Hg at (0.0513, 0.5257, 0.8170) and Hg at (0.0615, 0.5308, 0.1642).

The value obtained for the formation enthalpy at 0 K is -0.1092 eV per atom. The value obtained for the total magnetization is 0.00 μB/f.u.

=====

# 5
The following is a GGA-PBE calculation of Ca3PmU2N6 after structural relaxation, from the Alexandria database.

The space group is C2/m (No. 12) and the conventional cell measures 15.258, 3.535 and 7.048 Å, with angles of 90.00, 102.99 and 90.00 degrees. The inequivalent atoms are Ca at (0.000, 0.000, 0.000), Ca at (0.168, 0.500, 0.334), Pm at (0.000, 0.000, 0.500), U at (0.166, 0.500, 0.831), N at (0.018, 0.500, 0.758), N at (0.167, 0.000, 0.614) and N at (0.178, 0.000, 0.063).

The energy relative to the elements, uncorrected is -1.316 eV/atom. The value obtained for the total magnetization is 2.88 μB/f.u.

=====

# 6
The following is a GGA-PBE calculation of Li2HgBr after structural relaxation, from the Alexandria database.

The space group is C2/m (No. 12) and the conventional cell measures 6.409, 3.701 and 7.643 Å, with angles of 90.00, 106.01 and 90.00 degrees. The inequivalent atoms are Li at (0.240, 0.000, 0.220), Hg at (0.000, 0.000, 0.500) and Br at (0.000, 0.500, 0.000).

The energy relative to the elements, uncorrected is -0.767 eV/atom. The value obtained for the total magnetization is 0.00 μB/f.u.

=====

# 7
The following is a GGA-PBE calculation of CoRh2W after structural relaxation, from the Alexandria database.

The space group is Cm (No. 8) and the conventional cell measures 8.922, 2.733 and 4.660 Å, with angles of 90.00, 100.96 and 90.00 degrees. The inequivalent atoms are Co at (0.000, 0.000, 0.000), Rh at (0.253, 0.000, 0.778), Rh at (0.498, 0.000, 0.496) and W at (0.245, 0.500, 0.262).

The value obtained for the formation enthalpy at 0 K is -0.0053 eV per atom. The value obtained for the total magnetization is 1.83 μB/f.u.

=====

# 8
The following is a GGA-PBE calculation of LaNd2HoEr after structural relaxation, from the Alexandria database.

The space group is P2/c (No. 13) and the conventional cell measures 9.182, 6.412 and 6.413 Å, with angles of 90.00, 109.92 and 90.00 degrees. The inequivalent atoms are La at (0.000, 0.000, 0.000), Nd at (0.318, 0.315, 0.160), Ho at (0.500, 0.167, 0.750) and Er at (0.000, 0.497, 0.750).

The value obtained for the formation enthalpy at 0 K is 0.2759 eV per atom. The value obtained for the total magnetization is 0.00 μB/f.u.

=====

# 9
The following is a GGA-PBE calculation of Pm2MnPb after structural relaxation, from the Alexandria database.

The space group is P4/mmm (No. 123) and the conventional cell measures 4.936, 4.936 and 4.419 Å, with angles of 90.00, 90.00 and 90.00 degrees. The inequivalent atoms are Pm at (0.000, 0.500, 0.000), Mn at (0.000, 0.000, 0.500) and Pb at (0.500, 0.500, 0.500).

The value obtained for the formation enthalpy at 0 K is -0.0812 eV per atom. The value obtained for the total magnetization is 3.01 μB/f.u.

=====

# 10
The following is a GGA-PBE calculation of AcTaHN2 after structural relaxation, from the Alexandria database.

The space group is P4/mmm (No. 123) and the conventional cell measures 4.202, 4.202 and 3.791 Å, with angles of 90.00, 90.00 and 90.00 degrees. The inequivalent atoms are Ac at (0.000, 0.000, 0.000), Ta at (0.500, 0.500, 0.500), H at (0.500, 0.500, 0.000) and N at (0.000, 0.500, 0.500).

As for the total DFT energy (no corrections): -41.1 eV for the cell shown. The value obtained for the total magnetization is 0.00 μB/f.u.

=====

# 11
The following is a GGA-PBE calculation of Al4In after structural relaxation, from the Alexandria database.

The space group is Im-3m (No. 229) and the conventional cell measures 6.262, 6.262 and 6.262 Å, with angles of 90.00, 90.00 and 90.00 degrees. The inequivalent atoms are Al at (0.250, 0.250, 0.250) and In at (0.000, 0.000, 0.000).

The value obtained for the formation enthalpy at 0 K is 0.6228 eV per atom. The value obtained for the total magnetization is 0.00 μB/f.u.

=====

# 12
The following is a GGA-PBE calculation of Lu2TlC after structural relaxation, from the Alexandria database.

The space group is R-3m (No. 166, hexagonal axes) and the conventional cell measures 3.5334, 3.5334 and 23.7802 Å, with angles of 90.00, 90.00 and 120.00 degrees. The inequivalent atoms are Lu at (0.0000, 0.0000, 0.2213), Tl at (0.0000, 0.0000, 0.0000) and C at (0.0000, 0.0000, 0.5000).

The value obtained for the formation enthalpy at 0 K is -0.4503 eV per atom. The value obtained for the total magnetization is 0.00 μB/f.u.